No. 1
VASP calculation (PBE) on crystalline Mg4Ag at its relaxed geometry.

Output
Its total magnetization is 0.0 μB per formula unit. The value obtained for the formation energy is 0.02 eV per atom. For the energy above the most stable polymorph in this dataset, the calculation gives 51.7 kJ/mol of formula units. Its space group is I4_1/amd, No. 141.

Lattice parameters (Å, degrees): 6.834 6.834 6.834 105.51 105.51 117.72
Positions (direct):
Mg 0.213 0.279 0.565
Mg 0.213 0.648 0.935
Mg 0.279 0.213 0.065
Mg 0.352 0.787 0.565
Mg 0.648 0.213 0.435
Mg 0.721 0.787 0.935
Mg 0.787 0.352 0.065
Mg 0.787 0.721 0.435
Ag 0.125 0.875 0.250
Ag 0.875 0.125 0.750



No. 2
VASP calculation (PBE) on crystalline Mg3Ag at its relaxed geometry.

Output
Its total magnetization is 0.0 μB per formula unit. The value obtained for the formation energy is -0.12 eV per atom. Its space group is Pnma, No. 62.

Lattice parameters (Å, degrees): 7.654 8.521 5.345 90.00 90.00 90.00
Positions (direct):
Mg 0.021 0.250 0.094
Mg 0.172 0.059 0.610
Mg 0.172 0.441 0.610
Mg 0.328 0.559 0.110
Mg 0.328 0.941 0.110
Mg 0.479 0.750 0.594
Mg 0.521 0.250 0.406
Mg 0.672 0.059 0.890
Mg 0.672 0.441 0.890
Mg 0.828 0.559 0.390
Mg 0.828 0.941 0.390
Mg 0.979 0.750 0.906
Ag 0.129 0.750 0.423
Ag 0.371 0.250 0.923
Ag 0.629 0.750 0.077
Ag 0.871 0.250 0.577



No. 3
VASP calculation (PBE) on crystalline Mg2Ag5 at its relaxed geometry.

Output
Its total magnetization is 0.0 μB per formula unit. The value obtained for the formation energy is -0.15 eV per atom. For the energy above the most stable polymorph in this dataset, the calculation gives 0.0 kJ/mol of formula units. Its space group is C2/c, No. 15.

Lattice parameters (Å, degrees): 7.075 7.075 7.686 94.04 94.04 41.45
Positions (direct):
Mg 0.109 0.735 0.896
Mg 0.265 0.891 0.604
Mg 0.735 0.109 0.396
Mg 0.891 0.265 0.104
Ag 0.036 0.390 0.819
Ag 0.179 0.540 0.538
Ag 0.317 0.683 0.250
Ag 0.390 0.036 0.319
Ag 0.460 0.821 0.962
Ag 0.540 0.179 0.038
Ag 0.610 0.964 0.681
Ag 0.683 0.317 0.750
Ag 0.821 0.460 0.462
Ag 0.964 0.610 0.181



No. 4
VASP calculation (PBE) on crystalline Mg3Ag8 at its relaxed geometry.

Output
Its total magnetization is 0.0 μB per formula unit. The value obtained for the formation energy is 0.17 eV per atom. For the energy above the most stable polymorph in this dataset, the calculation gives 344.9 kJ/mol of formula units. Its space group is R-3, No. 148.

Lattice parameters (Å, degrees): 6.203 6.203 6.203 94.72 94.72 94.72
Positions (direct):
Mg 0.000 0.500 0.500
Mg 0.500 0.000 0.500
Mg 0.500 0.500 0.000
Ag 0.058 0.688 0.916
Ag 0.084 0.942 0.312
Ag 0.312 0.084 0.942
Ag 0.360 0.360 0.360
Ag 0.640 0.640 0.640
Ag 0.688 0.916 0.058
Ag 0.916 0.058 0.688
Ag 0.942 0.312 0.084



No. 5
VASP calculation (PBE) on crystalline Mg17Ag12 at its relaxed geometry.

Output
Its total magnetization is 0.0 μB per formula unit. The value obtained for the formation energy is -0.14 eV per atom. Its space group is I-43m, No. 217.

Lattice parameters (Å, degrees): 9.063 9.063 9.063 109.47 109.47 109.47
Positions (direct):
Mg 0.000 0.000 0.000
Mg 0.000 0.000 0.666
Mg 0.000 0.406 0.689
Mg 0.000 0.666 0.000
Mg 0.000 0.689 0.406
Mg 0.283 0.594 0.594
Mg 0.311 0.311 0.717
Mg 0.311 0.717 0.311
Mg 0.334 0.334 0.334
Mg 0.406 0.000 0.689
Mg 0.406 0.689 0.000
Mg 0.594 0.283 0.594
Mg 0.594 0.594 0.283
Mg 0.666 0.000 0.000
Mg 0.689 0.000 0.406
Mg 0.689 0.406 0.000
Mg 0.717 0.311 0.311
Ag 0.000 0.194 0.382
Ag 0.000 0.382 0.194
Ag 0.188 0.806 0.806
Ag 0.194 0.000 0.382
Ag 0.194 0.382 0.000
Ag 0.382 0.000 0.194
Ag 0.382 0.194 0.000
Ag 0.618 0.618 0.812
Ag 0.618 0.812 0.618
Ag 0.806 0.188 0.806
Ag 0.806 0.806 0.188
Ag 0.812 0.618 0.618



No. 6
VASP calculation (PBE) on crystalline Mg3Ag at its relaxed geometry.

Output
Its total magnetization is 0.0 μB per formula unit. The value obtained for the formation energy is -0.10 eV per atom. Its space group is Cmcm, No. 63.

Lattice parameters (Å, degrees): 6.237 10.676 4.902 90.00 90.00 90.00
Positions (direct):
Mg 0.000 0.086 0.250
Mg 0.000 0.914 0.750
Mg 0.242 0.342 0.250
Mg 0.242 0.658 0.750
Mg 0.258 0.158 0.750
Mg 0.258 0.842 0.250
Mg 0.500 0.414 0.750
Mg 0.500 0.586 0.250
Mg 0.742 0.158 0.750
Mg 0.742 0.842 0.250
Mg 0.758 0.342 0.250
Mg 0.758 0.658 0.750
Ag 0.000 0.407 0.750
Ag 0.000 0.593 0.250
Ag 0.500 0.093 0.250
Ag 0.500 0.907 0.750



No. 7
VASP calculation (PBE) on crystalline Mg3Ag at its relaxed geometry.

Output
Its total magnetization is 0.0 μB per formula unit. The value obtained for the formation energy is -0.06 eV per atom. Its space group is Pm-3n, No. 223.

Lattice parameters (Å, degrees): 5.492 5.492 5.492 90.00 90.00 90.00
Positions (direct):
Mg 0.000 0.250 0.500
Mg 0.000 0.750 0.500
Mg 0.250 0.500 0.000
Mg 0.500 0.000 0.250
Mg 0.500 0.000 0.750
Mg 0.750 0.500 0.000
Ag 0.000 0.000 0.000
Ag 0.500 0.500 0.500



No. 8
VASP calculation (PBE) on crystalline Mg5Ag3 at its relaxed geometry.

Output
Its total magnetization is 0.0 μB per formula unit. The value obtained for the formation energy is -0.17 eV per atom. For the energy above the most stable polymorph in this dataset, the calculation gives 7.6 kJ/mol of formula units. Its space group is P6_3/mcm, No. 193.

Lattice parameters (Å, degrees): 8.099 8.099 5.676 90.00 90.00 120.00
Positions (direct):
Mg 0.000 0.242 0.250
Mg 0.000 0.758 0.750
Mg 0.242 0.000 0.250
Mg 0.242 0.242 0.750
Mg 0.333 0.667 0.000
Mg 0.333 0.667 0.500
Mg 0.667 0.333 0.000
Mg 0.667 0.333 0.500
Mg 0.758 0.000 0.750
Mg 0.758 0.758 0.250
Ag 0.000 0.399 0.750
Ag 0.000 0.601 0.250
Ag 0.399 0.000 0.750
Ag 0.399 0.399 0.250
Ag 0.601 0.000 0.250
Ag 0.601 0.601 0.750



No. 9
VASP calculation (PBE) on crystalline Mg4Ag at its relaxed geometry.

Output
Its total magnetization is 0.0 μB per formula unit. The value obtained for the formation energy is 0.18 eV per atom. For the energy above the most stable polymorph in this dataset, the calculation gives 130.3 kJ/mol of formula units. Its space group is Pm-3m, No. 221.

Lattice parameters (Å, degrees): 5.127 5.127 5.127 90.00 90.00 90.00
Positions (direct):
Mg 0.000 0.000 0.000
Mg 0.000 0.500 0.500
Mg 0.500 0.000 0.500
Mg 0.500 0.500 0.000
Ag 0.500 0.500 0.500



No. 10
VASP calculation (PBE) on crystalline Mg2Ag13 at its relaxed geometry.

Output
Its total magnetization is 0.0 μB per formula unit. The value obtained for the formation energy is 0.18 eV per atom. For the energy above the most stable polymorph in this dataset, the calculation gives 0.0 kJ/mol of formula units. Its space group is R-3m, No. 166.

Lattice parameters (Å, degrees): 8.153 8.153 8.153 56.54 56.54 56.54
Positions (direct):
Mg 0.233 0.233 0.233
Mg 0.767 0.767 0.767
Ag 0.000 0.000 0.000
Ag 0.016 0.016 0.644
Ag 0.016 0.644 0.016
Ag 0.234 0.234 0.599
Ag 0.234 0.599 0.234
Ag 0.356 0.984 0.984
Ag 0.401 0.766 0.766
Ag 0.599 0.234 0.234
Ag 0.644 0.016 0.016
Ag 0.766 0.401 0.766
Ag 0.766 0.766 0.401
Ag 0.984 0.356 0.984
Ag 0.984 0.984 0.356



No. 11
VASP calculation (PBE) on crystalline Mg4Ag at its relaxed geometry.

Output
Its total magnetization is 0.0 μB per formula unit. The value obtained for the formation energy is -0.03 eV per atom. For the energy above the most stable polymorph in this dataset, the calculation gives 26.3 kJ/mol of formula units. Its space group is R-3m, No. 166.

Lattice parameters (Å, degrees): 3.151 3.151 37.448 90.00 90.00 120.00
Positions (direct):
Mg 0.000 0.000 0.106
Mg 0.000 0.000 0.298
Mg 0.000 0.000 0.702
Mg 0.000 0.000 0.894
Mg 0.333 0.667 0.369
Mg 0.333 0.667 0.561
Mg 0.333 0.667 0.773
Mg 0.333 0.667 0.964
Mg 0.667 0.333 0.036
Mg 0.667 0.333 0.227
Mg 0.667 0.333 0.439
Mg 0.667 0.333 0.631
Ag 0.000 0.000 0.500
Ag 0.333 0.667 0.167
Ag 0.667 0.333 0.833